Cd3Pt7 | the Alexandria database | PBE-GGA | relaxed; size of the total moment = 0.00 μB per atom; total energy = -4.721 eV per atom; energy relative to the elements = -218 meV/atom; volume = 16.69 Å³ per atom
1.0
7.323 -2.037 0.000
7.323 2.037 0.000
-1.295 0.000 5.594
Cd Pt
3 7
direct
0.000 0.000 0.000 Cd
0.198 0.198 0.601 Cd
0.802 0.802 0.399 Cd
0.000 0.000 0.500 Pt
0.201 0.201 0.097 Pt
0.400 0.400 0.201 Pt
0.401 0.401 0.703 Pt
0.599 0.599 0.297 Pt
0.600 0.600 0.799 Pt
0.799 0.799 0.903 Pt